An optimized crystal structure of PuUPaZn. Source: the Alexandria database, functional GGA-PBE. Values from VASP.

## Properties
**Volume**: 82.5 Å³/f.u.
**Density of states at the Fermi level**: 11.485 states/eV per cell
**ΔH_f (0 K)**: 185 meV/atom
**Total moment**: 5.45 μB per formula unit

Quantum ESPRESSO input file:
```
&SYSTEM
  ibrav = 0, nat = 4, ntyp = 4
/
ATOMIC_SPECIES
Pu 244.00 Pu.upf
U 238.03 U.upf
Pa 231.04 Pa.upf
Zn 65.41 Zn.upf
CELL_PARAMETERS angstrom
0.000 3.455 3.455
3.455 0.000 3.455
3.455 3.455 0.000
ATOMIC_POSITIONS angstrom
Pu 0.000 0.000 0.000
U 1.727 1.727 1.727
Pa 3.455 3.455 3.455
Zn 5.182 5.182 5.182
```